No. 1
KTl2Cl4: optimized geometry, PBE-GGA. Values from VASP.

Cell and atoms, written as Quantum ESPRESSO input:
```
&SYSTEM
  ibrav = 0, nat = 14, ntyp = 3
/
ATOMIC_SPECIES
K 39.10 K.upf
Tl 204.38 Tl.upf
Cl 35.45 Cl.upf
CELL_PARAMETERS angstrom
-6.3332 -4.9501 -5.3029
2.1184 -2.5356 -7.4749
-1.1199 -8.9731 -0.4645
ATOMIC_POSITIONS angstrom
K -2.1257 -6.8464 -8.5541
K -7.1850 -13.6968 -5.5871
Tl -1.4886 -7.7966 -4.4189
Tl -4.6553 -10.2714 -7.0704
Tl -0.9289 -3.3101 -4.1870
Tl -3.5962 -11.5394 -10.8077
Cl -5.1223 -11.8579 -4.4209
Cl -4.1886 -8.6851 -9.7203
Cl -2.5018 -9.5878 -2.7807
Cl -3.9145 -7.3261 -5.4559
Cl -1.3495 -9.6198 -6.3776
Cl -0.4756 -6.0056 -6.0576
Cl -5.3962 -13.2173 -8.6851
Cl -1.6283 -5.9735 -2.4607
```

Calculated values
Energy relative to the elements, uncorrected   -1.182 eV/atom
Energy above the most stable polymorph in this dataset   0.0 meV/atom

***

No. 2
K3TlCl6: optimized geometry, PBE-GGA. Values from VASP.

Cell and atoms, written as Quantum ESPRESSO input:
```
&SYSTEM
  ibrav = 0, nat = 10, ntyp = 3
/
ATOMIC_SPECIES
K 39.10 K.upf
Tl 204.38 Tl.upf
Cl 35.45 Cl.upf
CELL_PARAMETERS angstrom
7.8706 0.0000 0.0000
3.9353 6.8161 0.0000
3.9353 2.2720 6.4263
ATOMIC_POSITIONS angstrom
K 11.8059 6.8161 4.8197
K 3.9353 2.2720 1.6066
K 7.8706 4.5441 3.2132
Tl 0.0000 0.0000 0.0000
Cl 7.8706 2.1296 1.5059
Cl 5.7796 3.3369 4.9204
Cl 7.8706 6.9586 4.9204
Cl 5.7796 5.7513 1.5059
Cl 9.9616 3.3369 4.9204
Cl 9.9616 5.7513 1.5059
```

Calculated values
Energy relative to the elements, uncorrected   -1.405 eV/atom
Energy above the most stable polymorph in this dataset   73.0 meV/atom

***

No. 3
K6TlCl8: optimized geometry, PBE-GGA. Values from VASP.

Cell and atoms, written as Quantum ESPRESSO input:
```
&SYSTEM
  ibrav = 0, nat = 15, ntyp = 3
/
ATOMIC_SPECIES
K 39.10 K.upf
Tl 204.38 Tl.upf
Cl 35.45 Cl.upf
CELL_PARAMETERS angstrom
-6.0997 1.4078 2.4324
-2.9892 1.7910 -8.5329
-0.6162 -8.5447 3.4004
ATOMIC_POSITIONS angstrom
K -7.2750 -6.3192 -0.0180
K -5.1773 -4.2309 4.0339
K -6.1455 -1.4301 -0.0154
K -2.4302 0.9734 -2.6822
K -4.5279 -1.1149 -6.7341
K -3.5596 -3.9157 -2.6848
Tl -3.0499 0.7039 1.2162
Cl -7.5004 0.4500 -5.8682
Cl -6.9591 -3.8988 -1.9938
Cl -5.1624 1.4928 -0.6086
Cl -2.2048 -5.7959 3.1681
Cl -2.7460 -1.4470 -0.7063
Cl -4.5428 -6.8386 -2.0915
Cl -1.4073 -5.0994 -0.5773
Cl -8.2979 -0.2464 -2.1228
```

Calculated values
Energy relative to the elements, uncorrected   -1.660 eV/atom

***

No. 4
K2TlCl2: optimized geometry, PBE-GGA. Values from VASP.

Cell and atoms, written as Quantum ESPRESSO input:
```
&SYSTEM
  ibrav = 0, nat = 10, ntyp = 3
/
ATOMIC_SPECIES
Tl 204.38 Tl.upf
K 39.10 K.upf
Cl 35.45 Cl.upf
CELL_PARAMETERS angstrom
8.8590 0.0000 0.0000
0.0000 8.8590 0.0000
0.0000 0.0000 3.9781
ATOMIC_POSITIONS angstrom
Tl 0.0000 0.0000 0.0000
Tl 4.4295 4.4295 0.0000
K 1.3321 5.7616 1.9891
K 5.7616 7.5269 1.9891
K 7.5269 3.0974 1.9891
K 3.0974 1.3321 1.9891
Cl 3.1036 7.5332 0.0000
Cl 7.5332 5.7554 0.0000
Cl 5.7554 1.3259 0.0000
Cl 1.3259 3.1036 0.0000
```

Calculated values
Energy relative to the elements, uncorrected   -1.304 eV/atom
Energy above the most stable polymorph in this dataset   0.0 meV/atom

***

No. 5
KTlCl: optimized geometry, PBE-GGA. Values from VASP.

Cell and atoms, written as Quantum ESPRESSO input:
```
&SYSTEM
  ibrav = 0, nat = 3, ntyp = 3
/
ATOMIC_SPECIES
Tl 204.38 Tl.upf
K 39.10 K.upf
Cl 35.45 Cl.upf
CELL_PARAMETERS angstrom
5.4442 0.0000 0.0000
2.7221 4.7148 0.0000
2.7221 1.5716 4.4452
ATOMIC_POSITIONS angstrom
Tl 5.4442 3.1432 2.2226
K 0.0000 0.0000 0.0000
Cl 8.1663 4.7148 3.3339
```

Calculated values
Energy relative to the elements, uncorrected   -0.733 eV/atom
Energy above the most stable polymorph in this dataset   406.6 meV/atom

***

No. 6
K2Tl3Cl5: optimized geometry, PBE-GGA. Values from VASP.

Cell and atoms, written as Quantum ESPRESSO input:
```
&SYSTEM
  ibrav = 0, nat = 10, ntyp = 3
/
ATOMIC_SPECIES
K 39.10 K.upf
Tl 204.38 Tl.upf
Cl 35.45 Cl.upf
CELL_PARAMETERS angstrom
4.2756 0.0000 0.9488
1.7158 7.9773 2.3761
0.0706 -0.8787 9.7900
ATOMIC_POSITIONS angstrom
K 1.5403 0.3250 3.1669
K 4.5217 6.7737 9.9481
Tl 3.0310 3.5493 6.5575
Tl 1.5980 5.0363 2.9071
Tl 4.4640 2.0624 10.2078
Cl 0.0000 0.0000 0.0000
Cl 0.8418 1.0928 6.3148
Cl 5.2202 6.0059 6.8001
Cl 3.7011 2.7547 3.5376
Cl 2.3609 4.3440 9.5774
```

Calculated values
Energy relative to the elements, uncorrected   -1.347 eV/atom

***

Copy entry 2 word for word.
K3TlCl6: optimized geometry, PBE-GGA. Values from VASP.

Cell and atoms, written as Quantum ESPRESSO input:
```
&SYSTEM
  ibrav = 0, nat = 10, ntyp = 3
/
ATOMIC_SPECIES
K 39.10 K.upf
Tl 204.38 Tl.upf
Cl 35.45 Cl.upf
CELL_PARAMETERS angstrom
7.8706 0.0000 0.0000
3.9353 6.8161 0.0000
3.9353 2.2720 6.4263
ATOMIC_POSITIONS angstrom
K 11.8059 6.8161 4.8197
K 3.9353 2.2720 1.6066
K 7.8706 4.5441 3.2132
Tl 0.0000 0.0000 0.0000
Cl 7.8706 2.1296 1.5059
Cl 5.7796 3.3369 4.9204
Cl 7.8706 6.9586 4.9204
Cl 5.7796 5.7513 1.5059
Cl 9.9616 3.3369 4.9204
Cl 9.9616 5.7513 1.5059
```

Calculated values
Energy relative to the elements, uncorrected   -1.405 eV/atom
Energy above the most stable polymorph in this dataset   73.0 meV/atom

***

Question: Which of these has the lowest energy relative to the elements, uncorrected?
Answer: K6TlCl8

***

Question: Which of these has the lowest energy relative to the elements, uncorrected?
Answer: K6TlCl8